[1]
A plane-wave DFT calculation with PBE was carried out for a relaxed Mn4Cr2Os3 crystal.

Unit cell a=4.7999 b=4.7999 c=7.4384 alpha=119.20 beta=119.20 gamma=49.57
Atoms (fractional coordinates):
Mn: 0.0534 0.0534 0.3881
Mn: 0.2749 0.2749 0.9455
Mn: 0.7251 0.7251 0.0545
Mn: 0.9466 0.9466 0.6119
Cr: 0.3870 0.3870 0.7233
Cr: 0.6130 0.6130 0.2767
Os: 0.0000 0.0000 0.0000
Os: 0.3338 0.3338 0.3332
Os: 0.6662 0.6662 0.6668

Computed properties:
Formation energy (eV per atom): 0.028
Density (g cm⁻³): 13.5
Magnetic moment (Bohr magnetons per cell): 0.000



[2]
A plane-wave DFT calculation with PBE was carried out for a relaxed NdMg2Cu9 crystal.

Unit cell a=8.5558 b=8.5558 c=8.5558 alpha=34.59 beta=34.59 gamma=34.59
Atoms (fractional coordinates):
Nd: 0.0000 0.0000 0.0000
Mg: 0.1458 0.1458 0.1458
Mg: 0.8542 0.8542 0.8542
Cu: 0.0826 0.5866 0.5866
Cu: 0.3332 0.3332 0.3332
Cu: 0.4134 0.4134 0.9174
Cu: 0.4134 0.9174 0.4134
Cu: 0.5000 0.5000 0.5000
Cu: 0.5866 0.0826 0.5866
Cu: 0.5866 0.5865 0.0826
Cu: 0.6668 0.6668 0.6668
Cu: 0.9174 0.4134 0.4134

Computed properties:
Energy above the lowest structure with this stoichiometry (meV/atom): 3
Formation energy (eV per atom): -0.162
Density (g cm⁻³): 7.1
Magnetic moment (Bohr magnetons per cell): 0.000



[3]
A plane-wave DFT calculation with PBE was carried out for a relaxed Sm5Sc2Tl crystal.

Unit cell a=8.5929 b=8.5929 c=8.5929 alpha=157.15 beta=99.96 gamma=84.58
Atoms (fractional coordinates):
Sm: 0.0000 0.0000 0.0000
Sm: 0.1001 0.3671 0.7329
Sm: 0.3658 0.6329 0.7329
Sm: 0.6342 0.3671 0.2671
Sm: 0.8999 0.6329 0.2671
Sc: 0.2698 0.2698 0.0000
Sc: 0.7302 0.7302 0.0000
Tl: 0.5000 0.0000 0.5000

Computed properties:
Formation energy (eV per atom): 0.014
Density (g cm⁻³): 7.3
Magnetic moment (Bohr magnetons per cell): 0.000



[4]
A plane-wave DFT calculation with PBE was carried out for a relaxed LaAlTe2I crystal.

Unit cell a=5.4856 b=5.4856 c=5.3676 alpha=90.00 beta=90.00 gamma=90.00
Atoms (fractional coordinates):
La: 0.0000 0.0000 0.0000
Al: 0.5000 0.5000 0.5000
Te: 0.0000 0.5000 0.5000
Te: 0.5000 0.0000 0.5000
I: 0.5000 0.5000 0.0000

Computed properties:
Energy above the lowest structure with this stoichiometry (meV/atom): 0
E_form (uncorrected) (eV/atom): -0.57
Density (g cm⁻³): 5.6
Magnetic moment (Bohr magnetons per cell): 0.237



[5]
A plane-wave DFT calculation with PBE was carried out for a relaxed Tb2SmSc crystal.

Unit cell a=11.4748 b=11.4748 c=11.4748 alpha=17.72 beta=17.72 gamma=17.72
Atoms (fractional coordinates):
Tb: 0.0000 0.0000 0.0000
Tb: 0.1741 0.1741 0.1741
Sm: 0.7536 0.7536 0.7536
Sc: 0.5873 0.5873 0.5873

Computed properties:
Energy above the lowest structure with this stoichiometry (meV/atom): 9
Formation energy (eV per atom): 0.043
Density (g cm⁻³): 7.0
Magnetic moment (Bohr magnetons per cell): 0.001



Number 1: density of states at the Fermi level 0.719 states/eV/atom. Number 2: density of states at the Fermi level 0.553 states/eV/atom. Number 3: density of states at the Fermi level 1.320 states/eV/atom. Number 4: density of states at the Fermi level 0.829 states/eV/atom. Number 5: density of states at the Fermi level 1.488 states/eV/atom.